[1]
This record from the Open Quantum Materials Database describes a geometry-optimized CsGdSb structure. The functional is PBE-GGA.

Its volume is 40.31 Å³ per atom. The total magnetization comes out at 0.259 μB per atom. The value obtained for the uncorrected energy is -2.580 eV per atom.

The space group is F-43m (No. 216) and the conventional cell measures 7.850, 7.850 and 7.850 Å, with angles of 90.00, 90.00 and 90.00 degrees. The asymmetric unit holds Cs at (0.000, 0.000, 0.000), Gd at (0.250, 0.250, 0.750) and Sb at (0.250, 0.250, 0.250).

[2]
This record from the Open Quantum Materials Database describes a geometry-optimized CsGdSc structure. The functional is PBE-GGA.

Its volume is 47.80 Å³ per atom. The calculation puts the energy relative to the lowest polymorph listed for this composition at 0 meV/atom. The total magnetization comes out at 1.082 μB per atom. The value obtained for the uncorrected energy is -2.696 eV per atom.

The space group is F-43m (No. 216) and the conventional cell measures 8.309, 8.309 and 8.309 Å, with angles of 90.00, 90.00 and 90.00 degrees. The asymmetric unit holds Cs at (0.000, 0.000, 0.000), Gd at (0.000, 0.000, 0.500) and Sc at (0.250, 0.250, 0.250).

[3]
This record from the Open Quantum Materials Database describes a geometry-optimized CsGdSc structure. The functional is PBE-GGA.

Its volume is 36.60 Å³ per atom. The calculation puts the energy relative to the lowest polymorph listed for this composition at 111 meV/atom. The total magnetization comes out at 0.006 μB per atom. The value obtained for the uncorrected energy is -2.585 eV per atom.

The space group is F-43m (No. 216) and the conventional cell measures 7.601, 7.601 and 7.601 Å, with angles of 90.00, 90.00 and 90.00 degrees. The asymmetric unit holds Cs at (0.000, 0.000, 0.000), Gd at (0.250, 0.250, 0.250) and Sc at (0.250, 0.250, 0.750).

[4]
This record from the Open Quantum Materials Database describes a geometry-optimized CsGdScSe3 structure. The functional is PBE-GGA.

Its volume is 32.66 Å³ per atom. The total magnetization comes out at 0.002 μB per atom. The value obtained for the uncorrected energy is -5.326 eV per atom.

The space group is Cmcm (No. 63) and the conventional cell measures 4.356, 16.108 and 11.172 Å, with angles of 90.00, 90.00 and 90.00 degrees. The asymmetric unit holds Cs at (0.000, 0.239, 0.250), Gd at (0.000, 0.500, 0.000), Sc at (0.000, 0.035, 0.750), Se at (0.000, 0.119, 0.554) and Se at (0.000, 0.444, 0.750).

[5]
This record from the Open Quantum Materials Database describes a geometry-optimized Cs2GdScSe4 structure. The functional is PBE-GGA.

Its volume is 31.32 Å³ per atom. The total magnetization comes out at 0.000 μB per atom. The value obtained for the uncorrected energy is -4.971 eV per atom.

The space group is P-3m1 (No. 164) and the conventional cell measures 4.1784, 4.1784 and 16.5713 Å, with angles of 90.00, 90.00 and 120.00 degrees. The asymmetric unit holds Cs at (0.3333, 0.6667, 0.2443), Gd at (0.0000, 0.0000, 0.5000), Sc at (0.0000, 0.0000, 0.0000), Se at (0.3333, 0.6667, 0.5971) and Se at (0.3333, 0.6667, 0.9146).

[6]
This record from the Open Quantum Materials Database describes a geometry-optimized Cs2GdSe4 structure. The functional is PBE-GGA.

Its volume is 38.78 Å³ per atom. The total magnetization comes out at 0.054 μB per atom. The value obtained for the uncorrected energy is -3.992 eV per atom.

The space group is C2/m (No. 12) and the conventional cell measures 15.305, 7.307 and 11.242 Å, with angles of 90.00, 120.27 and 90.00 degrees. The asymmetric unit holds Cs at (0.095, 0.000, 0.410), Cs at (0.162, 0.500, 0.770), Gd at (0.123, 0.500, 0.173), Se at (0.054, 0.225, 0.952), Se at (0.129, 0.500, 0.418) and Se at (0.186, 0.000, 0.783).